Record 1
{"formula": "Cr2MoPb", "functional": "meta-GGA SCAN", "state": "single point on PBEsol structure", "lattice": [[-0.534, -1.942, 3.998], [1.645, -4.098, 0.735], [3.520, -0.546, 2.711]], "species": ["Cr", "Cr", "Mo", "Pb"], "frac_coords": [[0.000, 0.000, 0.000], [0.750, 0.750, 0.750], [0.500, 0.500, 0.500], [0.250, 0.250, 0.250]], "space_group": "F-43m (216)", "crystal_system": "cubic", "delta_e_f_ev_per_atom": 0.46, "m_tot_mub_per_cell": 1.86}



Record 2
{"formula": "Ta2ICl", "functional": "meta-GGA SCAN", "state": "single point on PBEsol structure", "lattice": [[-2.865, 2.518, 2.221], [-0.720, -3.312, 2.827], [8.115, 3.236, 2.414]], "species": ["I", "I", "Cl", "Cl", "Ta", "Ta", "Ta", "Ta"], "frac_coords": [[0.250, 0.750, 0.500], [0.000, 0.000, 0.000], [0.750, 0.250, 0.500], [0.500, 0.500, 0.000], [0.420, 0.875, 0.250], [0.830, 0.375, 0.250], [0.125, 0.170, 0.750], [0.625, 0.580, 0.750]], "space_group": "I-42d (122)", "crystal_system": "tetragonal", "raw_formation_energy_mev_per_atom": 622.6, "m_tot_mub_per_cell": 0.00}



Record 3
{"formula": "SrIr3O", "functional": "meta-GGA SCAN", "state": "single point on PBEsol structure", "lattice": [[4.275, 0.000, 0.000], [0.000, 4.275, 0.000], [0.000, 0.000, 4.275]], "species": ["Sr", "Ir", "Ir", "Ir", "O"], "frac_coords": [[0.500, 0.500, 0.500], [0.000, 0.500, 0.000], [0.000, 0.000, 0.500], [0.500, 0.000, 0.000], [0.000, 0.000, 0.000]], "space_group": "Pm-3m (221)", "crystal_system": "cubic", "raw_formation_energy_mev_per_atom": 657.3, "m_tot_mub_per_cell": 0.00}



Record 4
{"formula": "Li4Ir3", "functional": "meta-GGA SCAN", "state": "single point on PBEsol structure", "lattice": [[-3.165, -1.905, 2.875], [2.056, -4.560, -0.757], [1.664, 2.930, 3.773]], "species": ["Ir", "Ir", "Ir", "Li", "Li", "Li", "Li"], "frac_coords": [[0.000, 0.000, 0.500], [0.000, 0.500, 0.000], [0.000, 0.500, 0.500], [0.768, 0.000, 0.000], [0.232, 0.000, 0.000], [0.500, 0.333, 0.667], [0.500, 0.667, 0.333]], "space_group": "P6/mmm (191)", "crystal_system": "hexagonal", "delta_e_f_ev_per_atom": -0.23, "m_tot_mub_per_cell": 0.02}



Record 5
{"formula": "Pr2GeRh3", "functional": "meta-GGA SCAN", "state": "single point on PBEsol structure", "lattice": [[5.143, -0.004, -0.003], [2.085, 4.701, -0.003], [2.085, 1.355, 4.501]], "species": ["Pr", "Pr", "Ge", "Rh", "Rh", "Rh"], "frac_coords": [[0.628, 0.628, 0.628], [0.372, 0.372, 0.372], [0.000, 0.000, 0.000], [0.000, 0.000, 0.500], [0.500, 0.000, 0.000], [0.000, 0.500, 0.000]], "space_group": "R-3m (166)", "crystal_system": "trigonal", "delta_e_f_ev_per_atom": -0.89, "m_tot_mub_per_cell": 0.00}



Record 6
{"formula": "Li6MnO4", "functional": "meta-GGA SCAN", "state": "single point on PBEsol structure", "lattice": [[4.633, 0.000, 0.000], [0.000, 6.555, 0.000], [0.000, 0.000, 6.555]], "species": ["Li", "Li", "Li", "Li", "Li", "Li", "Li", "Li", "Li", "Li", "Li", "Li", "Mn", "Mn", "O", "O", "O", "O", "O", "O", "O", "O"], "frac_coords": [[0.959, 0.000, 0.500], [0.459, 0.000, 0.500], [0.541, 0.500, 0.000], [0.041, 0.500, 0.000], [0.000, 0.785, 0.785], [0.000, 0.785, 0.215], [0.000, 0.215, 0.785], [0.000, 0.215, 0.215], [0.500, 0.285, 0.285], [0.500, 0.285, 0.715], [0.500, 0.715, 0.285], [0.500, 0.715, 0.715], [0.500, 0.000, 0.000], [0.000, 0.500, 0.500], [0.219, 0.765, 0.500], [0.719, 0.000, 0.265], [0.719, 0.000, 0.735], [0.219, 0.235, 0.500], [0.281, 0.265, 0.000], [0.781, 0.500, 0.235], [0.781, 0.500, 0.765], [0.281, 0.735, 0.000]], "space_group": "P4_2/nmc (137)", "crystal_system": "tetragonal", "raw_formation_energy_mev_per_atom": -2021.5, "m_tot_mub_per_cell": 10.00}



Record 7
{"formula": "CdFeBr2", "functional": "meta-GGA SCAN", "state": "single point on PBEsol structure", "lattice": [[-1.239, 2.072, -2.415], [-1.528, -3.037, 0.330], [-5.956, 3.671, 6.206]], "species": ["Br", "Br", "Cd", "Fe"], "frac_coords": [[0.000, 0.000, 0.185], [0.000, 0.000, 0.815], [0.500, 0.500, 0.500], [0.500, 0.500, 0.000]], "space_group": "Cmmm (65)", "crystal_system": "orthorhombic", "relative_energy_mev_per_atom": 28, "raw_formation_energy_mev_per_atom": -169.0, "m_tot_mub_per_cell": 3.75}



Record 8
{"formula": "CsYMgIn2", "functional": "meta-GGA SCAN", "state": "single point on PBEsol structure", "lattice": [[5.419, 0.000, 0.000], [0.000, 5.419, 0.000], [0.000, 0.000, 5.754]], "species": ["Cs", "Y", "Mg", "In", "In"], "frac_coords": [[0.000, 0.000, 0.500], [0.500, 0.500, 0.500], [0.000, 0.000, 0.000], [0.000, 0.500, 0.000], [0.500, 0.000, 0.000]], "space_group": "P4/mmm (123)", "crystal_system": "tetragonal", "delta_e_f_ev_per_atom": 0.48, "m_tot_mub_per_cell": 0.00}



Record 9
{"formula": "SrMgTe", "functional": "meta-GGA SCAN", "state": "single point on PBEsol structure", "lattice": [[4.373, 0.000, 0.000], [-2.186, 3.787, 0.000], [0.000, 0.000, 6.364]], "species": ["Sr", "Mg", "Te"], "frac_coords": [[0.667, 0.333, 0.634], [0.000, 0.000, 0.061], [0.333, 0.667, 0.305]], "space_group": "P3m1 (156)", "crystal_system": "trigonal", "raw_formation_energy_mev_per_atom": -847.4, "m_tot_mub_per_cell": 0.00}



Record 10
{"formula": "SiWBr2", "functional": "meta-GGA SCAN", "state": "single point on PBEsol structure", "lattice": [[-0.889, 2.355, -2.064], [0.067, -0.538, -3.210], [-8.425, -2.204, -1.456]], "species": ["Br", "Br", "Si", "W"], "frac_coords": [[0.978, 0.978, 0.065], [0.770, 0.770, 0.690], [0.510, 0.510, 0.469], [0.241, 0.241, 0.277]], "space_group": "R3m (160)", "crystal_system": "trigonal", "relative_energy_mev_per_atom": 0, "raw_formation_energy_mev_per_atom": 236.0, "m_tot_mub_per_cell": 0.00}



Record 11
{"formula": "Li2MgRh", "functional": "meta-GGA SCAN", "state": "single point on PBEsol structure", "lattice": [[-0.267, -1.529, -2.457], [4.427, 0.584, -0.524], [-1.289, -3.419, 3.827]], "species": ["Mg", "Rh", "Li", "Li"], "frac_coords": [[0.000, 0.500, 0.000], [0.500, 0.000, 0.000], [0.500, 0.500, 0.500], [0.000, 0.000, 0.500]], "space_group": "C2/m (12)", "crystal_system": "monoclinic", "delta_e_f_ev_per_atom": -0.18, "m_tot_mub_per_cell": 0.08}



Record 12
{"formula": "NdDyZn2", "functional": "meta-GGA SCAN", "state": "single point on PBEsol structure", "lattice": [[5.027, 0.000, 0.000], [2.513, 4.353, 0.000], [2.513, 1.451, 4.104]], "species": ["Zn", "Zn", "Nd", "Dy"], "frac_coords": [[0.750, 0.750, 0.750], [0.250, 0.250, 0.250], [0.000, 0.000, 0.000], [0.500, 0.500, 0.500]], "space_group": "Fm-3m (225)", "crystal_system": "cubic", "delta_e_f_ev_per_atom": -0.38, "m_tot_mub_per_cell": 0.00}



Record 13
{"formula": "Y2Al2Ag", "functional": "meta-GGA SCAN", "state": "single point on PBEsol structure", "lattice": [[-3.902, 1.769, 1.695], [1.633, -2.405, 6.269], [3.292, 5.910, 1.409]], "species": ["Y", "Y", "Y", "Y", "Al", "Al", "Al", "Al", "Ag", "Ag"], "frac_coords": [[0.500, 0.168, 0.668], [0.500, 0.668, 0.832], [0.500, 0.832, 0.332], [0.500, 0.332, 0.168], [0.000, 0.365, 0.865], [0.000, 0.865, 0.635], [0.000, 0.635, 0.135], [0.000, 0.135, 0.365], [0.000, 0.000, 0.000], [0.000, 0.500, 0.500]], "space_group": "P4/mbm (127)", "crystal_system": "tetragonal", "delta_e_f_ev_per_atom": -0.47, "m_tot_mub_per_cell": 0.01}



Record 14
{"formula": "BaSb3", "functional": "meta-GGA SCAN", "state": "single point on PBEsol structure", "lattice": [[4.177, 0.000, 0.000], [-2.089, 3.618, 0.000], [0.000, 0.000, 8.953]], "species": ["Ba", "Sb", "Sb", "Sb"], "frac_coords": [[0.000, 0.000, 0.000], [0.000, 0.000, 0.500], [0.333, 0.667, 0.717], [0.333, 0.667, 0.283]], "space_group": "P-6m2 (187)", "crystal_system": "hexagonal", "raw_formation_energy_mev_per_atom": -202.9, "m_tot_mub_per_cell": 0.00}



Record 15
{"formula": "Cd3ReSe", "functional": "meta-GGA SCAN", "state": "single point on PBEsol structure", "lattice": [[5.086, 0.000, 0.000], [0.000, 5.086, 0.000], [0.000, 0.000, 5.086]], "species": ["Re", "Se", "Cd", "Cd", "Cd"], "frac_coords": [[0.500, 0.500, 0.500], [0.000, 0.000, 0.000], [0.000, 0.500, 0.000], [0.000, 0.000, 0.500], [0.500, 0.000, 0.000]], "space_group": "Pm-3m (221)", "crystal_system": "cubic", "raw_formation_energy_mev_per_atom": 1557.2, "m_tot_mub_per_cell": 3.79}



Record 16
{"formula": "LiMn5O3F5", "functional": "meta-GGA SCAN", "state": "single point on PBEsol structure", "lattice": [[6.277, 0.002, 0.002], [3.114, 5.450, 0.002], [3.114, 1.808, 5.141]], "species": ["Li", "Mn", "Mn", "Mn", "Mn", "Mn", "O", "O", "O", "F", "F", "F", "F", "F"], "frac_coords": [[0.245, 0.245, 0.245], [0.017, 0.017, 0.017], [0.621, 0.621, 0.111], [0.111, 0.621, 0.621], [0.632, 0.632, 0.632], [0.621, 0.111, 0.621], [0.869, 0.869, 0.405], [0.405, 0.869, 0.869], [0.869, 0.405, 0.869], [0.374, 0.374, 0.374], [0.382, 0.847, 0.382], [0.382, 0.382, 0.847], [0.847, 0.382, 0.382], [0.876, 0.876, 0.876]], "space_group": "R3m (160)", "crystal_system": "trigonal", "relative_energy_mev_per_atom": 3, "raw_formation_energy_mev_per_atom": -2432.1, "m_tot_mub_per_cell": 25.00}



Record 17
{"formula": "KBa2P5O15", "functional": "meta-GGA SCAN", "state": "single point on PBEsol structure", "lattice": [[-3.558, -4.028, -5.012], [4.955, -6.801, 1.949], [-7.190, -2.963, 7.484]], "species": ["K", "K", "Ba", "Ba", "Ba", "Ba", "P", "P", "P", "P", "P", "P", "P", "P", "P", "P", "O", "O", "O", "O", "O", "O", "O", "O", "O", "O", "O", "O", "O", "O", "O", "O", "O", "O", "O", "O", "O", "O", "O", "O", "O", "O", "O", "O", "O", "O"], "frac_coords": [[0.645, 0.942, 0.880], [0.355, 0.442, 0.380], [0.835, 0.745, 0.502], [0.130, 0.747, 0.089], [0.165, 0.245, 0.002], [0.870, 0.247, 0.589], [0.339, 0.845, 0.397], [0.154, 0.584, 0.760], [0.655, 0.581, 0.098], [0.099, 0.931, 0.772], [0.452, 0.064, 0.193], [0.548, 0.564, 0.693], [0.661, 0.345, 0.897], [0.345, 0.081, 0.598], [0.846, 0.084, 0.260], [0.901, 0.431, 0.272], [0.947, 0.463, 0.406], [0.199, 0.767, 0.764], [0.831, 0.270, 0.847], [0.386, 0.001, 0.325], [0.288, 0.919, 0.530], [0.614, 0.501, 0.825], [0.053, 0.445, 0.179], [0.735, 0.542, 0.236], [0.666, 0.023, 0.192], [0.334, 0.523, 0.692], [0.265, 0.042, 0.736], [0.625, 0.471, 0.587], [0.169, 0.770, 0.347], [0.585, 0.734, 0.696], [0.453, 0.596, 0.109], [0.232, 0.209, 0.546], [0.947, 0.945, 0.679], [0.496, 0.244, 0.907], [0.149, 0.531, 0.892], [0.801, 0.267, 0.264], [0.504, 0.744, 0.407], [0.375, 0.971, 0.087], [0.768, 0.709, 0.046], [0.001, 0.051, 0.174], [0.053, 0.963, 0.906], [0.547, 0.096, 0.609], [0.712, 0.419, 0.030], [0.415, 0.234, 0.196], [0.999, 0.551, 0.674], [0.851, 0.031, 0.392]], "space_group": "Pc (7)", "crystal_system": "monoclinic", "raw_formation_energy_mev_per_atom": -2726.0, "m_tot_mub_per_cell": 0.00}



Record 18
{"formula": "Ba3ReN3", "functional": "meta-GGA SCAN", "state": "single point on PBEsol structure", "lattice": [[5.654, 0.000, 0.000], [0.000, 8.156, 0.000], [0.000, -4.078, 7.063]], "species": ["Ba", "Ba", "Ba", "Ba", "Ba", "Ba", "Re", "Re", "N", "N", "N", "N", "N", "N"], "frac_coords": [[0.750, 0.101, 0.740], [0.750, 0.260, 0.361], [0.750, 0.639, 0.899], [0.250, 0.899, 0.260], [0.250, 0.740, 0.639], [0.250, 0.361, 0.101], [0.250, 0.333, 0.667], [0.750, 0.667, 0.333], [0.250, 0.117, 0.681], [0.250, 0.319, 0.435], [0.250, 0.565, 0.883], [0.750, 0.883, 0.319], [0.750, 0.681, 0.565], [0.750, 0.435, 0.117]], "space_group": "P6_3/m (176)", "crystal_system": "hexagonal", "raw_formation_energy_mev_per_atom": -793.8, "m_tot_mub_per_cell": 0.56}



Record 19
{"formula": "ScAl2Ir", "functional": "meta-GGA SCAN", "state": "single point on PBEsol structure", "lattice": [[-2.648, 3.228, -1.447], [0.137, -0.977, 4.317], [1.880, 2.815, 2.839]], "species": ["Sc", "Ir", "Al", "Al"], "frac_coords": [[0.750, 0.500, 0.750], [0.000, 0.000, 0.000], [0.500, 0.000, 0.500], [0.250, 0.500, 0.250]], "space_group": "I-4m2 (119)", "crystal_system": "tetragonal", "delta_e_f_ev_per_atom": -0.81, "m_tot_mub_per_cell": 0.00}



Record 20
{"formula": "Sr2Ce2Ti5O15", "functional": "meta-GGA SCAN", "state": "single point on PBEsol structure", "lattice": [[-3.070, 3.579, 2.775], [-4.297, 2.370, -2.418], [-8.994, -6.323, 3.597]], "species": ["Sr", "Sr", "Ce", "Ce", "Ti", "Ti", "Ti", "Ti", "Ti", "O", "O", "O", "O", "O", "O", "O", "O", "O", "O", "O", "O", "O", "O", "O"], "frac_coords": [[0.200, 0.200, 0.400], [0.800, 0.800, 0.600], [0.602, 0.602, 0.195], [0.398, 0.398, 0.805], [0.903, 0.903, 0.292], [0.698, 0.698, 0.906], [0.302, 0.302, 0.094], [0.097, 0.097, 0.708], [0.500, 0.500, 0.500], [0.302, 0.792, 0.604], [0.103, 0.589, 0.205], [0.698, 0.208, 0.396], [0.500, 0.000, 0.000], [0.897, 0.411, 0.795], [0.208, 0.698, 0.396], [0.000, 0.500, 0.000], [0.589, 0.103, 0.205], [0.411, 0.897, 0.795], [0.792, 0.302, 0.604], [0.103, 0.103, 0.205], [0.897, 0.897, 0.795], [0.500, 0.500, 0.000], [0.302, 0.302, 0.604], [0.698, 0.698, 0.396]], "space_group": "R-3m (166)", "crystal_system": "trigonal", "raw_formation_energy_mev_per_atom": -3454.6, "m_tot_mub_per_cell": 2.00}



Record 21
{"formula": "EuGe", "functional": "meta-GGA SCAN", "state": "single point on PBEsol structure", "lattice": [[-2.577, 2.364, 1.977], [2.059, -1.014, 3.896], [4.422, 3.762, 1.266]], "species": ["Eu", "Eu", "Ge", "Ge"], "frac_coords": [[0.750, 0.140, 0.721], [0.250, 0.860, 0.279], [0.750, 0.426, 0.147], [0.250, 0.574, 0.853]], "space_group": "Cmcm (63)", "crystal_system": "orthorhombic", "delta_e_f_ev_per_atom": -0.78, "m_tot_mub_per_cell": 14.38}



Record 22
{"formula": "MnCdRu", "functional": "meta-GGA SCAN", "state": "single point on PBEsol structure", "lattice": [[2.713, 0.000, 0.000], [-1.357, 2.350, 0.000], [0.000, 0.000, 6.701]], "species": ["Cd", "Mn", "Ru"], "frac_coords": [[0.000, 0.000, 0.993], [0.333, 0.667, 0.642], [0.667, 0.333, 0.365]], "space_group": "P3m1 (156)", "crystal_system": "trigonal", "delta_e_f_ev_per_atom": 0.20, "m_tot_mub_per_cell": 2.91}



Record 23
{"formula": "CrInCo2", "functional": "meta-GGA SCAN", "state": "single point on PBEsol structure", "lattice": [[3.638, 0.000, 0.000], [0.000, 3.638, 0.000], [-1.819, -1.819, 3.884]], "species": ["Co", "Co", "Cr", "In"], "frac_coords": [[0.000, 0.000, 0.000], [0.750, 0.250, 0.500], [0.500, 0.500, 0.000], [0.250, 0.750, 0.500]], "space_group": "I-4m2 (119)", "crystal_system": "tetragonal", "delta_e_f_ev_per_atom": 0.28, "m_tot_mub_per_cell": 2.55}



| no. | V (Å³ per atom) |
| --- | --- |
| 1 | 15.86 |
| 2 | 20.72 |
| 3 | 15.62 |
| 4 | 14.82 |
| 5 | 18.15 |
| 6 | 9.05 |
| 7 | 24.42 |
| 8 | 33.79 |
| 9 | 35.12 |
| 10 | 19.80 |
| 11 | 15.02 |
| 12 | 22.45 |
| 13 | 22.00 |
| 14 | 33.82 |
| 15 | 26.31 |
| 16 | 12.56 |
| 17 | 14.89 |
| 18 | 23.26 |
| 19 | 15.32 |
| 20 | 12.02 |
| 21 | 24.95 |
| 22 | 14.24 |
| 23 | 12.85 |